No. 1
CoSiMo | PBE-GGA | relaxed

```
18
Lattice="-2.6329 0.4486 2.4470 -4.0979 -1.8019 -4.0788 1.1750 -9.8813 3.0758" Properties=species:S:1:pos:R:3 pbc="T T T"
Si -2.7386 -10.2845 0.2793
Si -1.1192 -4.4261 0.9477
Si -3.3587 -3.6637 -1.6017
Si -2.8172 -0.9502 1.1647
Si -2.1970 -7.5709 3.0457
Si -4.4365 -6.8085 0.4963
Co -4.6152 -2.5341 -3.1607
Co -1.8988 -2.5519 -0.2347
Co -3.6218 -5.9827 -1.4596
Co -3.6569 -8.6827 1.6787
Co -1.9339 -5.2519 2.9036
Co -0.9405 -8.7005 4.6047
Mo -1.0109 -9.6252 2.0174
Mo -1.7232 -2.5771 2.6400
Mo -1.8589 -6.8485 0.5959
Mo -3.6968 -4.3861 0.8481
Mo -3.8326 -8.6575 -1.1960
Mo -4.5448 -1.6094 -0.5734
```

- Raw formation energy: -44.8 kJ/mol of atoms
- Space-group type: P2_1/m, No. 11
- Density: 8.0 Mg/m³

No. 2
Nb2CrAgPb | PBE-GGA | relaxed

```
5
Lattice="4.9938 0.0000 0.0000 0.0000 4.8499 0.0000 0.0000 0.0000 4.9938" Properties=species:S:1:pos:R:3 pbc="T T T"
Nb 0.0000 0.0000 2.4969
Nb 2.4969 0.0000 0.0000
Cr 0.0000 2.4249 0.0000
Ag 0.0000 0.0000 0.0000
Pb 2.4969 2.4249 2.4969
```

- Space-group type: P4/mmm, No. 123
- Energy of formation: 1.48 eV per atom
- Density: 7.6 Mg/m³

No. 3
MgAl2Rh | PBE-GGA | relaxed

```
4
Lattice="-2.8779 0.4496 -0.7212 -0.8893 -3.1241 1.6011 -0.8143 2.7882 4.9880" Properties=species:S:1:pos:R:3 pbc="T T T"
Al -0.4277 1.4643 2.6197
Al -0.7938 2.7179 4.8624
Mg -2.0872 -0.6402 1.6870
Rh -2.4944 0.7539 4.1810
```

- Space-group type: Pmmm, No. 47
- Energy of formation: -0.49 eV per atom
- Density: 4.8 Mg/m³

No. 4
KGeIr3 | PBE-GGA | relaxed

```
5
Lattice="4.6976 0.0000 0.0000 0.0000 4.6976 0.0000 0.0000 0.0000 4.6976" Properties=species:S:1:pos:R:3 pbc="T T T"
Ir 0.0000 2.3488 0.0000
Ir 0.0000 0.0000 2.3488
Ir 2.3488 0.0000 0.0000
Ge 0.0000 0.0000 0.0000
K 2.3488 2.3488 2.3488
```

- Space-group type: Pm-3m, No. 221
- Energy of formation: 1.00 eV per atom
- Density: 11.0 Mg/m³

No. 5
NaSrCd | PBE-GGA | relaxed

```
12
Lattice="-8.2543 -1.2554 -0.8317 -0.2027 -1.3186 4.0019 1.8302 11.4768 3.8743" Properties=species:S:1:pos:R:3 pbc="T T T"
Na -3.7707 7.1262 2.1571
Na -2.6534 3.0952 0.8855
Na -1.8396 8.1743 4.8235
Na -4.7872 0.7285 2.2209
Sr -1.0283 4.7801 3.7462
Sr -5.5985 4.1227 3.2982
Sr -6.4122 -0.9564 -0.6399
Sr -0.0119 11.1778 3.6824
Cd 0.6119 7.7813 2.5949
Cd -7.0360 2.4401 0.4476
Cd -6.2223 7.5192 4.3857
Cd -0.4045 1.3836 2.6587
```

- Space-group type: C2/m, No. 12
- Energy of formation: -0.13 eV per atom
- Density: 3.6 Mg/m³

No. 6
Pm2NCl3 | PBE-GGA | relaxed

```
12
Lattice="-1.4330 -0.0377 -3.7344 -3.1089 -7.7695 -0.8709 -9.8497 0.3820 1.6334" Properties=species:S:1:pos:R:3 pbc="T T T"
Pm -10.5440 -3.4837 -2.3458
Pm -7.0967 -1.9686 -1.5416
Pm -7.2950 -5.4565 -1.4303
Pm -3.8476 -3.9415 -0.6261
Cl -1.5811 -2.4735 -1.5107
Cl -6.4433 -6.5380 -3.8886
Cl -12.8106 -4.9517 -1.4613
Cl -9.7525 -6.2704 -2.6214
Cl -4.6392 -1.1547 -0.3505
Cl -7.9483 -0.8871 0.9166
N -5.7811 -3.8085 -2.0279
N -8.6105 -3.6167 -0.9441
```

- Raw formation energy: -202.0 kJ/mol of atoms
- Space-group type: C2/m, No. 12
- Density: 4.4 Mg/m³